No. 1
The following is a PBE calculation of a geometry-optimized LiInPt structure, from OQMD via LeMat-Bulk.

Structure (POSCAR):
```
LiInPt
1.0
-2.4003 3.6948 -3.3650
-4.0573 -1.8000 0.9177
-0.8712 5.1807 6.3097
Pt In Li
4 4 4
direct
0.8145 0.2500 0.4233 Pt
0.1855 0.7500 0.5767 Pt
0.6855 0.7500 0.9233 Pt
0.3145 0.2500 0.0767 Pt
0.1842 0.7500 0.9119 In
0.3158 0.2500 0.4119 In
0.6842 0.7500 0.5881 In
0.8158 0.2500 0.0881 In
0.4652 0.2500 0.7628 Li
0.9652 0.2500 0.7372 Li
0.5348 0.7500 0.2372 Li
0.0348 0.7500 0.2628 Li
```

Properties
Raw total energy = -49.7 eV per cell

No. 2
The following is a PBE calculation of a geometry-optimized Li4InSbPt2 structure, from OQMD via LeMat-Bulk.

Structure (POSCAR):
```
Li4InSbPt2
1.0
4.4833 0.0000 0.0000
0.0000 4.4833 0.0000
0.0000 0.0000 6.3234
Pt Li Sb In
2 4 1 1
direct
0.0000 0.5000 0.2588 Pt
0.5000 0.0000 0.7412 Pt
0.0000 0.0000 0.0000 Li
0.0000 0.5000 0.7520 Li
0.5000 0.0000 0.2480 Li
0.5000 0.5000 0.5000 Li
0.0000 0.0000 0.5000 Sb
0.5000 0.5000 0.0000 In
```

Properties
Raw total energy = -31.6 eV per cell